No. 1
4
Lattice="1.5882 -4.2471 0.0000 1.5882 4.2471 0.0000 0.0000 0.0000 9.9265" Properties=species:S:1:pos:R:3 comment="TeP2Cl, optimized geometry, DFT PBE" polymorph_energy_mev_per_atom=380 e_form_raw_ev_per_atom=0.28 dft_energy_ev_per_atom=-3.670 pbc="T T T"
Te 0.0000 0.0000 0.0000
P 0.0000 0.0000 5.6260
P 1.5882 0.0000 7.0122
Cl 1.5882 0.0000 2.1358

=====

No. 2
5
Lattice="3.9074 0.0000 0.0000 0.0000 3.9074 0.0000 0.0000 0.0000 3.9412" Properties=species:S:1:pos:R:3 comment="MnHIr2Pd, optimized geometry, DFT PBE" polymorph_energy_mev_per_atom=0 dft_energy_ev_per_atom=-7.070 pbc="T T T"
Mn 0.0000 0.0000 0.0000
H 0.0000 0.0000 1.9706
Ir 0.0000 1.9537 1.9706
Ir 1.9537 0.0000 1.9706
Pd 1.9537 1.9537 0.0000

=====

No. 3
5
Lattice="-2.1658 2.1658 5.0447 2.1658 -2.1658 5.0447 2.1658 2.1658 -5.0447" Properties=species:S:1:pos:R:3 comment="Hf2Ni2Sn, optimized geometry, DFT PBE" dft_energy_ev_per_atom=-7.283 pbc="T T T"
Hf 2.1658 0.0000 2.5223
Hf 0.0000 2.1658 2.5223
Ni 0.0000 0.0000 1.1349
Ni 0.0000 0.0000 8.9544
Sn 0.0000 0.0000 5.0447